## TbEr3Tc (GGA-PBE)

Data for crystalline TbEr3Tc at its relaxed geometry.

a = 5.341 Å, b = 5.341 Å, c = 5.341 Å
α = 90.00°, β = 90.00°, γ = 90.00°
Positions (direct):
Er (0.000, 0.500, 0.000)
Er (0.500, 0.000, 0.000)
Er (0.000, 0.000, 0.500)
Tb (0.500, 0.500, 0.500)
Tc (0.000, 0.000, 0.000)

Properties
Formation enthalpy at 0 K in eV per formula unit: 0.7
Energy relative to the lowest polymorph listed for this composition in kJ/mol of formula units: 80.1

## Tb2Er8Tc (GGA-PBE)

Data for crystalline Tb2Er8Tc at its relaxed geometry.

a = 5.417 Å, b = 6.394 Å, c = 9.625 Å
α = 91.30°, β = 106.34°, γ = 90.00°
Positions (direct):
Er (0.648, 0.134, 0.295)
Er (0.961, 0.761, 0.923)
Er (0.842, 0.175, 0.684)
Er (0.352, 0.866, 0.705)
Er (0.039, 0.239, 0.077)
Er (0.575, 0.631, 0.150)
Er (0.425, 0.369, 0.850)
Er (0.158, 0.825, 0.316)
Tc (0.500, 0.000, 0.000)
Tb (0.238, 0.332, 0.476)
Tb (0.762, 0.668, 0.524)

Properties
Formation enthalpy at 0 K in eV per formula unit: 0.1

## Tb5Er4Tc2 (GGA-PBE)

Data for crystalline Tb5Er4Tc2 at its relaxed geometry.

a = 3.612 Å, b = 8.363 Å, c = 10.345 Å
α = 91.50°, β = 90.00°, γ = 90.00°
Positions (direct):
Tb (0.000, 0.563, 0.340)
Tb (0.000, 0.161, 0.156)
Tb (0.000, 0.437, 0.660)
Tb (0.000, 0.500, 0.000)
Tb (0.000, 0.839, 0.844)
Tc (0.000, 0.921, 0.344)
Tc (0.000, 0.079, 0.656)
Er (0.500, 0.820, 0.146)
Er (0.500, 0.182, 0.450)
Er (0.500, 0.818, 0.550)
Er (0.500, 0.180, 0.854)

Properties
Formation enthalpy at 0 K in eV per formula unit: 0.4

## Tb2ErTc (GGA-PBE)

Data for crystalline Tb2ErTc at its relaxed geometry.

a = 3.898 Å, b = 6.252 Å, c = 9.181 Å
α = 90.00°, β = 90.00°, γ = 108.18°
Positions (direct):
Tb (0.643, 0.286, 0.434)
Tb (0.357, 0.714, 0.934)
Tb (0.643, 0.286, 0.066)
Tb (0.357, 0.714, 0.566)
Er (0.073, 0.147, 0.750)
Er (0.927, 0.853, 0.250)
Tc (0.739, 0.478, 0.750)
Tc (0.261, 0.522, 0.250)

Properties
Formation enthalpy at 0 K in eV per formula unit: -0.4
Energy relative to the lowest polymorph listed for this composition in kJ/mol of formula units: 0.4

## Tb2ErTc (GGA-PBE)

Data for crystalline Tb2ErTc at its relaxed geometry.

a = 3.469 Å, b = 3.469 Å, c = 8.782 Å
α = 90.00°, β = 90.00°, γ = 90.00°
Positions (direct):
Tc (0.500, 0.500, 0.000)
Tb (0.000, 0.000, 0.188)
Tb (0.000, 0.000, 0.812)
Er (0.500, 0.500, 0.500)

Properties
Formation enthalpy at 0 K in eV per formula unit: 0.2
Energy relative to the lowest polymorph listed for this composition in kJ/mol of formula units: 56.9

## Tb2ErTc9 (GGA-PBE)

Data for crystalline Tb2ErTc9 at its relaxed geometry.

a = 5.342 Å, b = 5.342 Å, c = 9.291 Å
α = 73.29°, β = 73.29°, γ = 60.00°
Positions (direct):
Tc (0.926, 0.412, 0.249)
Tc (0.412, 0.926, 0.249)
Tc (0.588, 0.588, 0.751)
Tc (0.074, 0.588, 0.751)
Tc (0.500, 0.500, 0.500)
Tc (0.412, 0.412, 0.249)
Tc (0.588, 0.074, 0.751)
Tc (0.662, 0.662, 0.013)
Tc (0.338, 0.338, 0.987)
Er (0.000, 0.000, 0.000)
Tb (0.856, 0.856, 0.431)
Tb (0.144, 0.144, 0.569)

Properties
Formation enthalpy at 0 K in eV per formula unit: -0.5

## TbEr3Tc (GGA-PBE)

Data for crystalline TbEr3Tc at its relaxed geometry.

a = 7.236 Å, b = 7.236 Å, c = 7.214 Å
α = 107.14°, β = 114.09°, γ = 107.41°
Positions (direct):
Tc (0.373, 0.250, 0.623)
Tc (0.627, 0.750, 0.377)
Tb (0.709, 0.053, 0.762)
Tb (0.291, 0.947, 0.238)
Er (0.242, 0.448, 0.298)
Er (0.703, 0.446, 0.149)
Er (0.150, 0.944, 0.702)
Er (0.850, 0.056, 0.298)
Er (0.297, 0.554, 0.851)
Er (0.758, 0.552, 0.702)

Properties
Formation enthalpy at 0 K in eV per formula unit: -0.2
Energy relative to the lowest polymorph listed for this composition in kJ/mol of formula units: 0.0

## TbEr2Tc (GGA-PBE)

Data for crystalline TbEr2Tc at its relaxed geometry.

a = 3.889 Å, b = 6.248 Å, c = 9.107 Å
α = 90.00°, β = 90.00°, γ = 108.13°
Positions (direct):
Tc (0.761, 0.521, 0.250)
Tc (0.239, 0.479, 0.750)
Er (0.854, 0.709, 0.566)
Er (0.854, 0.709, 0.934)
Er (0.146, 0.291, 0.434)
Er (0.146, 0.291, 0.066)
Tb (0.429, 0.857, 0.250)
Tb (0.571, 0.143, 0.750)

Properties
Formation enthalpy at 0 K in eV per formula unit: -0.5
Energy relative to the lowest polymorph listed for this composition in kJ/mol of formula units: 1.5

## TbEr3Te3 (GGA-PBE)

Data for crystalline TbEr3Te3 at its relaxed geometry.

a = 7.090 Å, b = 7.090 Å, c = 11.092 Å
α = 71.36°, β = 71.36°, γ = 60.00°
Last column: magnetic moment on the atom in μB.
Positions (direct):
Te (0.741, 0.377, 0.821)  0.01
Te (0.061, 0.741, 0.821)  0.01
Te (0.377, 0.061, 0.821)  0.01
Te (0.623, 0.939, 0.179)  0.01
Te (0.939, 0.259, 0.179)  0.01
Te (0.259, 0.623, 0.179)  0.01
Er (0.468, 0.779, 0.633)  0.21
Er (0.779, 0.120, 0.633)  0.21
Er (0.221, 0.880, 0.367)  0.21
Er (0.880, 0.532, 0.367)  0.21
Er (0.120, 0.468, 0.633)  0.21
Er (0.532, 0.221, 0.367)  0.21
Tb (0.667, 0.667, 0.999)  0.00
Tb (0.333, 0.333, 0.001)  0.00

Properties
Calculated total energy in eV per atom: -4.886

## TbEr5Te4 (GGA-PBE)

Data for crystalline TbEr5Te4 at its relaxed geometry.

a = 4.112 Å, b = 8.488 Å, c = 9.306 Å
α = 102.56°, β = 102.76°, γ = 90.00°
Positions (direct):
Te (0.986, 0.741, 0.972)
Te (0.669, 0.063, 0.339)
Te (0.014, 0.259, 0.028)
Te (0.331, 0.937, 0.661)
Er (0.838, 0.220, 0.676)
Er (0.191, 0.359, 0.381)
Er (0.500, 0.500, 0.000)
Er (0.162, 0.780, 0.324)
Er (0.809, 0.641, 0.619)
Tb (0.500, 0.000, 0.000)

Properties
Calculated total energy in eV per atom: -4.871

## TbErTe3 (GGA-PBE)

Data for crystalline TbErTe3 at its relaxed geometry.

a = 4.226 Å, b = 7.374 Å, c = 10.713 Å
α = 90.00°, β = 90.00°, γ = 106.65°
Positions (direct):
Tb (0.753, 0.505, 0.750)
Tb (0.247, 0.495, 0.250)
Te (0.648, 0.295, 0.434)
Te (0.352, 0.705, 0.934)
Te (0.095, 0.189, 0.750)
Te (0.352, 0.705, 0.566)
Te (0.905, 0.811, 0.250)
Te (0.648, 0.295, 0.066)
Er (0.000, 0.000, 0.000)
Er (0.000, 0.000, 0.500)

Properties
Calculated total energy in eV per atom: -5.080

## Tb2Er2Te3 (GGA-PBE)

Data for crystalline Tb2Er2Te3 at its relaxed geometry.

a = 4.108 Å, b = 7.227 Å, c = 8.241 Å
α = 114.44°, β = 104.43°, γ = 90.00°
Positions (direct):
Te (0.250, 0.729, 0.500)
Te (0.750, 0.271, 0.500)
Te (0.000, 0.500, 0.000)
Tb (0.619, 0.814, 0.238)
Tb (0.381, 0.186, 0.762)
Er (0.102, 0.239, 0.203)
Er (0.898, 0.761, 0.797)

Properties
Calculated total energy in eV per atom: -4.942

Calculated magnetic moment, 0.00; 0.00; 0.00; 0.00; 0.00; 0.00; 0.00; 0.00; 1.98; 0.00; 0.00; 0.00 μB per cell (same order as the records).